[1]
Material: EuIn4Sn
Method: DFT, PBE
State: optimized geometry

Cell and atoms, written as extended XYZ:
```
6
Lattice="0.000 4.391 4.391 4.391 0.000 4.391 4.391 4.391 0.000" Properties=species:S:1:pos:R:3 pbc="T T T"
Eu 0.000 0.000 0.000
In 5.487 3.295 3.295
In 3.295 5.487 3.295
In 3.295 3.295 5.487
In 5.487 5.487 5.487
Sn 2.195 2.195 2.195
```

Properties
ΔE_f	-0.15	eV/atom
mass density	7.160	g/cm3
space group	F-43m, No. 216

---

[2]
Material: Eu2InSn
Method: DFT, PBE
State: optimized geometry

Cell and atoms, written as extended XYZ:
```
12
Lattice="3.810 0.000 0.000 -1.905 3.299 0.000 0.000 0.000 30.947" Properties=species:S:1:pos:R:3 pbc="T T T"
Eu 0.000 0.000 7.685
Eu 0.000 0.000 23.262
Eu 0.000 2.200 12.946
Eu 0.000 2.200 28.317
Eu 1.905 1.100 2.631
Eu 1.905 1.100 18.001
In 0.000 0.000 0.000
In 0.000 2.200 20.631
In 1.905 1.100 10.316
Sn 0.000 0.000 15.474
Sn 0.000 2.200 5.158
Sn 1.905 1.100 25.789
```

Properties
ΔE_f	-0.36	eV/atom
mass density	6.883	g/cm3
space group	R-3m, No. 166

---

[3]
Material: TbEuInSn
Method: DFT, PBE
State: optimized geometry

Cell and atoms, written as extended XYZ:
```
16
Lattice="7.689 0.000 0.000 0.000 7.689 0.000 0.000 0.000 7.689" Properties=species:S:1:pos:R:3 pbc="T T T"
Tb 0.000 0.000 0.000
Tb 0.000 3.845 3.845
Tb 3.845 0.000 3.845
Tb 3.845 3.845 0.000
Eu 0.000 0.000 3.845
Eu 0.000 3.845 0.000
Eu 3.845 0.000 0.000
Eu 3.845 3.845 3.845
In 1.922 1.922 5.767
In 1.922 5.767 1.922
In 5.767 1.922 1.922
In 5.767 5.767 5.767
Sn 1.922 1.922 1.922
Sn 1.922 5.767 5.767
Sn 5.767 1.922 5.767
Sn 5.767 5.767 1.922
```

Properties
ΔE_f	-0.52	eV/atom
mass density	7.955	g/cm3
space group	F-43m, No. 216

---

[4]
Material: EuThInSn
Method: DFT, PBE
State: optimized geometry

Cell and atoms, written as extended XYZ:
```
16
Lattice="7.785 0.000 0.000 0.000 7.785 0.000 0.000 0.000 7.785" Properties=species:S:1:pos:R:3 pbc="T T T"
Eu 0.000 0.000 0.000
Eu 0.000 3.893 3.893
Eu 3.893 0.000 3.893
Eu 3.893 3.893 0.000
Th 0.000 0.000 3.893
Th 0.000 3.893 0.000
Th 3.893 0.000 0.000
Th 3.893 3.893 3.893
In 1.946 1.946 1.946
In 1.946 5.839 5.839
In 5.839 1.946 5.839
In 5.839 5.839 1.946
Sn 1.946 1.946 5.839
Sn 1.946 5.839 1.946
Sn 5.839 1.946 1.946
Sn 5.839 5.839 5.839
```

Properties
ΔE_f	-0.38	eV/atom
mass density	8.692	g/cm3
space group	F-43m, No. 216

---

[5]
Material: EuTlInSn
Method: DFT, PBE
State: optimized geometry

Cell and atoms, written as extended XYZ:
```
16
Lattice="7.773 0.000 0.000 0.000 7.773 0.000 0.000 0.000 7.773" Properties=species:S:1:pos:R:3 pbc="T T T"
Eu 0.000 0.000 0.000
Eu 0.000 3.886 3.886
Eu 3.886 0.000 3.886
Eu 3.886 3.886 0.000
Tl 1.943 1.943 1.943
Tl 1.943 5.829 5.829
Tl 5.829 1.943 5.829
Tl 5.829 5.829 1.943
In 1.943 1.943 5.829
In 1.943 5.829 1.943
In 5.829 1.943 1.943
In 5.829 5.829 5.829
Sn 0.000 0.000 3.886
Sn 0.000 3.886 0.000
Sn 3.886 0.000 0.000
Sn 3.886 3.886 3.886
```

Properties
ΔE_f	-0.27	eV/atom
mass density	8.344	g/cm3
space group	F-43m, No. 216

---

[6]
Material: EuZnInSn
Method: DFT, PBE
State: optimized geometry

Cell and atoms, written as extended XYZ:
```
16
Lattice="7.478 0.000 0.000 0.000 7.478 0.000 0.000 0.000 7.478" Properties=species:S:1:pos:R:3 pbc="T T T"
Eu 0.000 0.000 0.000
Eu 0.000 3.739 3.739
Eu 3.739 0.000 3.739
Eu 3.739 3.739 0.000
Zn 1.869 1.869 5.608
Zn 1.869 5.608 1.869
Zn 5.608 1.869 1.869
Zn 5.608 5.608 5.608
In 0.000 0.000 3.739
In 0.000 3.739 0.000
In 3.739 0.000 0.000
In 3.739 3.739 3.739
Sn 1.869 1.869 1.869
Sn 1.869 5.608 5.608
Sn 5.608 1.869 5.608
Sn 5.608 5.608 1.869
```

Properties
ΔE_f	-0.23	eV/atom
mass density	7.163	g/cm3
space group	F-43m, No. 216